DFT (PBE+U) results for ScWOF2 after structural relaxation.

crystal system	tetragonal
SG	P4/mmm (123)
energy above the lowest structure with this stoichiometry	479	meV/atom
total DFT energy (no corrections)	-5.92	eV/atom
D(E_F)	4.28	states/eV/cell

Unit cell a=4.310 b=4.310 c=4.231 alpha=90.00 beta=90.00 gamma=90.00
Each line ends with the local moment (μB).
Element x y z (fractional)
Sc1 0.500 0.500 0.500  1.05
O1 0.000 0.000 0.500  0.08
W1 0.000 0.000 0.000  2.78
F1 0.000 0.500 0.000  0.06
F2 0.500 0.000 0.000  0.06